Compound: LaMnOF2
Source: Alexandria via LeMat-Bulk
Functional: PBE with a Hubbard U
Structure: relaxed

Unit cell a=4.755 b=4.755 c=4.607 alpha=90.00 beta=90.00 gamma=90.00
Atoms (fractional coordinates):
La1 0.000 0.000 0.000
Mn1 0.500 0.500 0.500
O1 0.000 0.000 0.500
F1 0.000 0.500 0.000
F2 0.500 0.000 0.000

SG: No. 123
Total energy in eV/atom: -6.62
Total magnetization in μB per cell: 6.0